Computed, not measured: a relaxed YHf3Ga crystal at the PBE level of DFT.

Unit cell a=5.084 b=5.084 c=5.084 alpha=90.00 beta=90.00 gamma=90.00
Sites, in units of the cell vectors:
Y 0.000 0.000 0.000
Hf 0.000 0.500 0.500
Hf 0.500 0.000 0.500
Hf 0.500 0.500 0.000
Ga 0.500 0.500 0.500

Properties
Excess energy over the best structure of this formula in the dataset   0.00 kJ per mole of atoms
Density   8771 kg/m3

***

Computed, not measured: a relaxed Rb2UPdSe4 crystal at the PBE level of DFT.

Unit cell a=7.023 b=7.023 c=7.023 alpha=111.13 beta=111.13 gamma=106.19
Sites, in units of the cell vectors:
Rb 0.000 0.000 0.000
Rb 0.750 0.250 0.500
U 0.500 0.500 0.000
Pd 0.250 0.750 0.500
Se 0.167 0.566 0.080
Se 0.434 0.514 0.601
Se 0.486 0.087 0.920
Se 0.913 0.833 0.399

Properties
ΔE_f (raw)   -0.7893 eV/atom
Density   5189 kg/m3

***

density of number 2 (Rb2UPdSe4)?
5189 kg/m3